Sr3Ce2ErAs6 PBE optimized geometry; space group = C2/m, No. 12; volume = 28.53 Å³ per atom; ΔH_f (0 K) = -1.253 eV/atom
1.0
-0.3925 4.2160 -6.1324
-5.5675 0.0926 4.9527
5.1661 3.9078 3.8655
As Sr Er Ce
6 3 1 2
direct
0.7405 0.7405 0.2205 As
0.2595 0.2595 0.7795 As
0.9267 0.5936 0.7798 As
0.5936 0.9267 0.7798 As
0.4064 0.0733 0.2202 As
0.0733 0.4064 0.2202 As
0.8337 0.1663 0.5000 Sr
0.5000 0.5000 0.5000 Sr
0.1663 0.8337 0.5000 Sr
0.0000 0.0000 0.0000 Er
0.6665 0.3335 0.0000 Ce
0.3335 0.6665 0.0000 Ce